LaPmAlPb: optimized geometry, PBE.

a b c (Å): 5.482 5.482 5.482
angles (deg): 60.00 60.00 60.00
Fractional coordinates of all 4 atoms:
La 0.000 0.000 0.000
Pm 0.500 0.500 0.500
Pb 0.750 0.750 0.750
Al 0.250 0.250 0.250

* total magnetic moment: 0.00 Bohr magnetons per cell
* formation energy from the elements: -0.38 eV/atom
* final energy: -4.66 eV/atom
* symmetry: F-43m, No. 216